[1]
## RbGa2GeOs (PBE-GGA)

Data for a relaxed structure of RbGa2GeOs.

Properties
**Formation energy from the elements**: -36 meV per atom

abc: 4.9252 4.9252 4.8702
angles: 90.00 90.00 90.00
Space group P4/mmm (No. 123)
One atom of each set of equivalent atoms:
1 Rb 0.0000 0.0000 0.0000
2 Ga 0.0000 0.5000 0.5000
3 Ge 0.5000 0.5000 0.0000
4 Os 0.5000 0.5000 0.5000

[2]
## HfSc2B2Ru5 (PBE-GGA)

Data for a relaxed structure of HfSc2B2Ru5.

Properties
**Formation energy from the elements**: -591 meV per atom

abc: 9.5402 9.5402 3.0983
angles: 90.00 90.00 90.00
Space group P4/mbm (No. 127)
One atom of each set of equivalent atoms:
1 Hf 0.0000 0.0000 0.0000
2 Sc 0.1744 0.3256 0.0000
3 B 0.1221 0.6221 0.0000
4 Ru 0.0000 0.5000 0.5000
5 Ru 0.0729 0.7797 0.5000

[3]
## MgVP2C (PBE-GGA)

Data for a relaxed structure of MgVP2C.

Properties
**Formation energy from the elements**: 2505 meV per atom

abc: 4.5168 4.5168 4.8377
angles: 90.00 90.00 90.00
Space group P4/mmm (No. 123)
One atom of each set of equivalent atoms:
1 Mg 0.0000 0.0000 0.0000
2 V 0.0000 0.0000 0.5000
3 P 0.0000 0.5000 0.0000
4 C 0.5000 0.5000 0.5000

[4]
## Ca2Pt7 (PBE-GGA)

Data for a relaxed structure of Ca2Pt7.

Properties
**Formation energy from the elements**: -374 meV per atom
**E above lowest polymorph**: 314 meV per atom

abc: 4.9587 4.9587 7.1787
angles: 90.00 90.00 120.00
Space group P-31m (No. 162)
One atom of each set of equivalent atoms:
1 Ca 0.3333 0.6667 0.0000
2 Pt 0.0000 0.0000 0.0000
3 Pt 0.0000 0.3295 0.6668

[5]
## SrAs2H2 (PBE-GGA)

Data for a relaxed structure of SrAs2H2.

Properties
**VASP energy**: -19.3 eV per cell

abc: 4.3375 5.3228 5.4551
angles: 111.96 105.98 104.38
Space group P-1 (No. 2)
One atom of each set of equivalent atoms:
1 Sr 0.0000 0.0000 0.0000
2 As 0.2304 0.4660 0.6692
3 H 0.0478 0.6468 0.2256

[6]
## SrNiMo2 (PBE-GGA)

Data for a relaxed structure of SrNiMo2.

Properties
**Formation energy from the elements**: 748 meV per atom
**E above lowest polymorph**: 297 meV per atom

abc: 3.7352 4.0857 9.3087
angles: 90.00 90.00 90.00
Space group Cmmm (No. 65)
One atom of each set of equivalent atoms:
1 Sr 0.0000 0.0000 0.0000
2 Ni 0.0000 0.0000 0.5000
3 Mo 0.0000 0.5000 0.3050

[7]
## NaH2Br3 (PBE-GGA)

Data for a relaxed structure of NaH2Br3.

Properties
**VASP energy**: -67.7 eV per cell

abc: 10.9775 11.1220 5.9720
angles: 90.00 90.00 90.00
Space group Cmc2_1 (No. 36)
One atom of each set of equivalent atoms:
1 Na 0.0000 0.1397 0.0000
2 H 0.2013 0.1549 0.4949
3 Br 0.0000 0.1267 0.4995
4 Br 0.1653 0.3633 0.9857

[8]
## LiDyYRe (PBE-GGA)

Data for a relaxed structure of LiDyYRe.

Properties
**Formation energy from the elements**: 80 meV per atom

abc: 6.9753 6.9753 6.9753
angles: 90.00 90.00 90.00
Space group F-43m (No. 216)
One atom of each set of equivalent atoms:
1 Li 0.0000 0.0000 0.0000
2 Dy 0.2500 0.2500 0.7500
3 Y 0.2500 0.2500 0.2500
4 Re 0.0000 0.0000 0.5000

[9]
## RbMg2InPb4 (PBE-GGA)

Data for a relaxed structure of RbMg2InPb4.

Properties
**Formation energy from the elements**: -15 meV per atom

abc: 5.4339 5.4339 31.2388
angles: 90.00 90.00 120.00
Space group R-3m (No. 166, hexagonal axes)
One atom of each set of equivalent atoms:
1 Rb 0.0000 0.0000 0.0000
2 Mg 0.0000 0.0000 0.2330
3 In 0.0000 0.0000 0.5000
4 Pb 0.0000 0.0000 0.1266
5 Pb 0.0000 0.0000 0.4054

[10]
## TaHgRuRh (PBE-GGA)

Data for a relaxed structure of TaHgRuRh.

Properties
**Formation energy from the elements**: -109 meV per atom

abc: 6.3990 6.3990 6.3990
angles: 90.00 90.00 90.00
Space group F-43m (No. 216)
One atom of each set of equivalent atoms:
1 Ta 0.0000 0.0000 0.0000
2 Hg 0.0000 0.0000 0.5000
3 Ru 0.2500 0.2500 0.7500
4 Rh 0.2500 0.2500 0.2500

[11]
## TiTlTe3Rh (PBE-GGA)

Data for a relaxed structure of TiTlTe3Rh.

Properties
**ΔE_f (raw)**: -489.3 meV per atom

abc: 8.6302 3.7792 10.8672
angles: 90.00 113.19 90.00
Space group P2_1/m (No. 11)
One atom of each set of equivalent atoms:
1 Ti 0.2193 0.2500 0.1732
2 Tl 0.2156 0.7500 0.7088
3 Te 0.0477 0.2500 0.8840
4 Te 0.2572 0.2500 0.4394
5 Te 0.4292 0.7500 0.1365
6 Rh 0.4223 0.7500 0.3793

[12]
## YPuHgPd (PBE-GGA)

Data for a relaxed structure of YPuHgPd.

Properties
**Formation energy from the elements**: -388 meV per atom

abc: 7.2907 7.2907 7.2907
angles: 90.00 90.00 90.00
Space group F-43m (No. 216)
One atom of each set of equivalent atoms:
1 Y 0.0000 0.0000 0.0000
2 Pu 0.0000 0.0000 0.5000
3 Hg 0.2500 0.2500 0.7500
4 Pd 0.2500 0.2500 0.2500